[1]
Below is crystalline Sr7Ca2Hg2 at its relaxed geometry, with properties calculated at the GGA-PBE level.

The structure in extended XYZ format:
```
11
Lattice="-2.1639 10.4234 5.6437 2.1639 -10.4234 5.6437 2.1639 10.4234 -5.6437" Properties=species:S:1:pos:R:3 pbc="T T T"
Sr 0.0000 0.0000 0.0000
Sr 2.1639 7.2374 -0.6834
Sr 2.1639 3.7149 1.4993
Sr 0.0000 3.1860 4.9603
Sr 0.0000 7.3596 2.9872
Sr 0.0000 13.4873 2.9872
Sr 0.0000 6.7085 7.1430
Ca 2.1639 0.0000 3.6455
Ca 0.0000 0.0000 7.1252
Hg 2.1639 -5.6363 4.7724
Hg 2.1639 5.6363 4.7724
```

Results
- Energy of formation: -160 meV per atom
- Mass density: 3.570 g/cm³
- VASP energy: -18.1 eV/f.u.
- Space-group type: Imm2, No. 44

***

[2]
Below is crystalline TbPr3Nd8 at its relaxed geometry, with properties calculated at the GGA-PBE level.

The structure in extended XYZ format:
```
12
Lattice="-3.2811 4.5956 7.1893 3.2811 -4.5956 7.1893 3.2811 4.5956 -7.1893" Properties=species:S:1:pos:R:3 pbc="T T T"
Tb 0.0000 0.0000 0.0000
Pr 3.2811 0.0000 5.4347
Pr 0.0000 0.0000 7.1893
Pr 0.0000 4.5956 1.7546
Nd 2.2746 3.2274 -4.1729
Nd 2.4035 1.5370 -1.3900
Nd 4.1586 1.5370 1.3900
Nd 1.0064 1.3682 3.0164
Nd 1.0064 -1.3682 11.3623
Nd 0.8776 3.0586 5.7993
Nd -0.8776 3.0586 8.5793
Nd 2.2746 5.9638 4.1729
```

Results
- Energy of formation: 264 meV per atom
- Mass density: 6.646 g/cm³
- VASP energy: -53.9 eV/f.u.
- Space-group type: I222, No. 23

***

[3]
Below is crystalline BaLiTh2S5 at its relaxed geometry, with properties calculated at the GGA-PBE level.

The structure in extended XYZ format:
```
18
Lattice="-3.9196 3.9196 6.9226 3.9196 -3.9196 6.9226 3.9196 3.9196 -6.9226" Properties=species:S:1:pos:R:3 pbc="T T T"
Ba 0.0000 0.0000 3.4613
Ba 0.0000 0.0000 10.3839
Li 3.9196 0.0000 3.4613
Li 0.0000 3.9196 3.4613
Th 5.1544 1.2348 0.0000
Th 1.2348 2.6847 0.0000
Th 2.6847 1.2348 6.9226
Th -1.2348 2.6847 6.9226
S 0.0000 0.0000 0.0000
S 2.7514 1.1682 -1.7954
S 2.7514 -1.1682 5.1272
S 2.7514 1.1682 1.7954
S 2.7514 -1.1682 8.7180
S 0.0000 0.0000 6.9226
S 1.1682 5.0877 -1.7954
S 1.1682 2.7514 5.1272
S 1.1682 5.0877 1.7954
S 1.1682 2.7514 8.7180
```

Results
- Mass density: 6.001 g/cm³
- VASP energy: -56.6 eV/f.u.
- E_form (uncorrected): -1.92 eV/atom
- Space-group type: I4/mcm, No. 140

***

[4]
Below is crystalline Ac2Tm3Pd2 at its relaxed geometry, with properties calculated at the GGA-PBE level.

The structure in extended XYZ format:
```
7
Lattice="6.4130 -1.9418 0.0000 6.4130 1.9418 0.0000 -4.3726 0.0000 8.1818" Properties=species:S:1:pos:R:3 pbc="T T T"
Ac 0.6284 0.0000 2.4850
Ac 7.8251 0.0000 5.6968
Tm 4.5969 0.0000 0.5078
Tm 4.2267 0.0000 4.0909
Tm 3.8566 0.0000 7.6740
Pd -1.2150 0.0000 6.0651
Pd 9.6684 0.0000 2.1167
```

Results
- Energy of formation: -515 meV per atom
- Mass density: 9.564 g/cm³
- VASP energy: -35.6 eV/f.u.
- Space-group type: C2/m, No. 12

***

[5]
Below is crystalline VCoSi2 at its relaxed geometry, with properties calculated at the GGA-PBE level.

The structure in extended XYZ format:
```
4
Lattice="3.7937 0.0000 0.0000 0.0000 3.7937 0.0000 0.0000 0.0000 3.2828" Properties=species:S:1:pos:R:3 pbc="T T T"
V 0.0000 0.0000 0.0000
Co 1.8968 1.8968 0.0000
Si 0.0000 1.8968 1.6414
Si 1.8968 0.0000 1.6414
```

Results
- Mass density: 5.836 g/cm³
- VASP energy: -28.4 eV/f.u.
- E_form (uncorrected): -0.34 eV/atom
- Space-group type: P4/mmm, No. 123

***

[6]
Below is crystalline Ba2NiBRu at its relaxed geometry, with properties calculated at the GGA-PBE level.

The structure in extended XYZ format:
```
5
Lattice="5.8820 0.0000 0.0000 0.0000 5.8820 0.0000 0.0000 0.0000 4.4189" Properties=species:S:1:pos:R:3 pbc="T T T"
Ba 0.0000 2.9410 0.0000
Ba 2.9410 0.0000 0.0000
Ni 0.0000 0.0000 0.0000
B 2.9410 2.9410 2.2095
Ru 0.0000 0.0000 2.2095
```

Results
- Energy of formation: 1125 meV per atom
- Mass density: 4.836 g/cm³
- VASP energy: -20.0 eV/f.u.
- Space-group type: P4/mmm, No. 123

***

[7]
Below is crystalline Mg8InAg6 at its relaxed geometry, with properties calculated at the GGA-PBE level.

The structure in extended XYZ format:
```
15
Lattice="4.0299 2.3266 5.7164 -4.0299 2.3266 5.7164 0.0000 -4.6533 5.7164" Properties=species:S:1:pos:R:3 pbc="T T T"
Mg -1.3277 -2.3195 6.5653
Mg 0.0000 0.0000 2.8452
Mg -2.6726 -0.0099 10.5839
Mg -1.3449 2.3095 6.5653
Mg 1.3449 -2.3095 10.5839
Mg 2.6726 0.0099 6.5653
Mg 0.0000 0.0000 14.3040
Mg 1.3277 2.3195 10.5839
In 0.0000 0.0000 8.5746
Ag -2.7369 -0.0064 7.7033
Ag -1.3630 -2.3734 9.4458
Ag 1.3740 -2.3671 7.7033
Ag -1.3740 2.3671 9.4458
Ag 1.3630 2.3734 7.7033
Ag 2.7369 0.0063 9.4458
```

Results
- Energy of formation: -136 meV per atom
- Mass density: 4.939 g/cm³
- VASP energy: -34.6 eV/f.u.
- Space-group type: R-3, No. 148

***

[8]
Below is crystalline Pr2Nd4Ga3O2 at its relaxed geometry, with properties calculated at the GGA-PBE level.

The structure in extended XYZ format:
```
11
Lattice="-2.4191 2.4191 12.0348 2.4191 -2.4191 12.0348 2.4191 2.4191 -12.0348" Properties=species:S:1:pos:R:3 pbc="T T T"
Pr 0.0000 0.0000 4.8738
Pr 0.0000 0.0000 19.1958
Nd 2.4191 0.0000 1.9907
Nd 2.4191 0.0000 10.0442
Nd 0.0000 2.4191 1.9907
Nd 0.0000 2.4191 10.0442
Ga 0.0000 0.0000 7.9580
Ga 0.0000 0.0000 12.0348
Ga 0.0000 0.0000 16.1116
O 0.0000 0.0000 2.4479
O 0.0000 0.0000 21.6217
```

Results
- Mass density: 6.483 g/cm³
- VASP energy: -61.7 eV/f.u.
- E_form (uncorrected): -1.28 eV/atom
- Space-group type: I4/mmm, No. 139